Here is a relaxed structure of Dy2GaCu3 from Alexandria. Energies are from PBE.

D(E_F) ... 0.5117 states/eV per atom

```
Dy2GaCu3
1.0
4.9297 -2.1539 0.0000
4.9297 2.1539 0.0000
-4.5567 0.0000 5.2206
Dy Ga Cu
2 1 3
Direct
0.0000 0.0000 0.0000
0.0864 0.0864 0.5891
0.7122 0.7122 0.4062
0.3782 0.3782 0.1796
0.3793 0.3793 0.5832
0.7041 0.7041 0.0052
```


Here is a relaxed structure of Dy2GaCu3 from Alexandria. Energies are from PBE.

D(E_F) ... 0.6799 states/eV per atom

```
Dy2GaCu3
1.0
0.0000 4.2981 7.5226
3.5102 0.0000 7.5226
3.5102 4.2981 0.0000
Dy Ga Cu
4 2 6
Direct
0.2425 0.7575 0.7575
0.2500 0.2500 0.2500
0.7500 0.7500 0.7500
0.7575 0.2425 0.2425
0.3343 0.3343 0.6657
0.6657 0.6657 0.3343
0.1672 0.1672 0.8328
0.1682 0.6663 0.3337
0.3337 0.8318 0.1682
0.6663 0.1682 0.8318
0.8318 0.3337 0.6663
0.8328 0.8328 0.1672
```


Here is a relaxed structure of DyGaCu6 from Alexandria. Energies are from PBE.

D(E_F) ... 0.2906 states/eV per atom

```
DyGaCu6
1.0
4.8915 0.0000 0.0000
0.0000 4.8915 0.0000
0.0000 0.0000 4.8915
Dy Ga Cu
1 1 6
Direct
0.0000 0.0000 0.0000
0.5000 0.5000 0.5000
0.0000 0.2579 0.5000
0.0000 0.7421 0.5000
0.2579 0.5000 0.0000
0.5000 0.0000 0.2579
0.5000 0.0000 0.7421
0.7421 0.5000 0.0000
```


Here is a relaxed structure of Dy3Ga3Cu from Alexandria. Energies are from PBE.

D(E_F) ... 0.6330 states/eV per atom

```
Dy3Ga3Cu
1.0
5.3023 -2.1705 0.0000
5.3023 2.1705 0.0000
-5.0078 0.0000 13.3268
Dy Ga Cu
6 6 2
Direct
0.0421 0.0421 0.3846
0.1021 0.1021 0.9224
0.2452 0.2452 0.2284
0.7548 0.7548 0.7716
0.8979 0.8979 0.0776
0.9579 0.9579 0.6154
0.3655 0.3655 0.4563
0.3876 0.3876 0.9242
0.4637 0.4637 0.7663
0.5363 0.5363 0.2337
0.6124 0.6124 0.0758
0.6345 0.6345 0.5437
0.2505 0.2505 0.6062
0.7495 0.7495 0.3938
```


no.,formation enthalpy at 0 K (eV per atom),DFT total energy (eV/atom)
1,-0.382,-4.4687
2,-0.359,-4.4452
3,-0.002,-4.0279
4,-0.575,-4.4300